The following is a GGA-PBE calculation of a relaxed Ca3MoH8 crystal, from Alexandria.

Cell lengths 5.0269, 5.0269, 5.0269 Å; angles 90.00, 90.00, 90.00 degrees
Space group Pm-3m (No. 221)
Asymmetric unit:
Ca 0.0000 0.0000 0.5000 (multiplicity 3)
Mo 0.5000 0.5000 0.5000 (multiplicity 1)
H 0.2823 0.2823 0.2823 (multiplicity 8)

The total energy comes out at -4.0117 eV/atom. Its crystal system is cubic.



The following is a GGA-PBE calculation of a relaxed Re2Te2O crystal, from Alexandria.

Cell lengths 5.6007, 5.6007, 6.3128 Å; angles 90.00, 90.00, 90.00 degrees
Space group I4/mmm (No. 139)
Asymmetric unit:
Re 0.0000 0.0000 0.1850 (multiplicity 4)
Te 0.0000 0.5000 0.2500 (multiplicity 4)
O 0.0000 0.0000 0.5000 (multiplicity 2)

The uncorrected formation energy is 0.40 eV per atom. The total energy comes out at -6.8237 eV/atom. Its energy above the most stable polymorph in this dataset is 0 meV per atom. Its crystal system is tetragonal.



The following is a GGA-PBE calculation of a relaxed Ce4Ni6Rh7 crystal, from Alexandria.

Cell lengths 8.1769, 8.1769, 8.1769 Å; angles 90.00, 90.00, 90.00 degrees
Space group Im-3m (No. 229)
Asymmetric unit:
Ce 0.2500 0.2500 0.2500 (multiplicity 8)
Ni 0.0000 0.0000 0.3011 (multiplicity 12)
Rh 0.0000 0.0000 0.0000 (multiplicity 2)
Rh 0.0000 0.2500 0.5000 (multiplicity 12)

The total energy comes out at -6.9724 eV/atom. Its crystal system is cubic. As for the formation energy: -0.509 eV/atom.